# 1
Here is Na3HoU3Se8 after structural relaxation from Alexandria via LeMat-Bulk. Energies are from PBE.

The space group is R-3m (No. 166, hexagonal axes) and the conventional cell measures 8.2652, 8.2652 and 21.2129 Å, with angles of 90.00, 90.00 and 120.00 degrees. The asymmetric unit holds Na at (0.0000, 0.5000, 0.0000), Ho at (0.0000, 0.0000, 0.5000), U at (0.0000, 0.5000, 0.5000), Se at (0.0000, 0.0000, 0.2446) and Se at (0.0006, 0.5003, 0.2424).

For the formation energy from raw total energies, the calculation gives -127 kJ per mole of atoms. For the density of states at the Fermi level, the calculation gives 45.95 states/eV per cell. For the total energy, the calculation gives -269.850 eV for the cell shown.

=====

# 2
Here is Na3HoU2Se6 after structural relaxation from Alexandria via LeMat-Bulk. Energies are from PBE.

The space group is C2/m (No. 12) and the conventional cell measures 7.164, 12.409 and 7.452 Å, with angles of 90.00, 108.69 and 90.00 degrees. The asymmetric unit holds Na at (0.000, 0.000, 0.000), Na at (0.000, 0.334, 0.000), Ho at (0.000, 0.500, 0.500), U at (0.000, 0.167, 0.500), Se at (0.243, 0.335, 0.733) and Se at (0.247, 0.000, 0.732).

For the formation energy from raw total energies, the calculation gives -129 kJ per mole of atoms. For the density of states at the Fermi level, the calculation gives 16.92 states/eV per cell. For the total energy, the calculation gives -136.191 eV for the cell shown.

=====

# 3
Here is NaHoUSe4 after structural relaxation from Alexandria via LeMat-Bulk. Energies are from PBE.

The space group is Imma (No. 74) and the conventional cell measures 8.418, 8.595 and 11.925 Å, with angles of 90.00, 90.00 and 90.00 degrees. The asymmetric unit holds Na at (0.000, 0.250, 0.131), Ho at (0.250, 0.250, 0.750), U at (0.000, 0.000, 0.500), Se at (0.000, 0.025, 0.737) and Se at (0.224, 0.250, 0.509).

For the formation energy from raw total energies, the calculation gives -138 kJ per mole of atoms. For the density of states at the Fermi level, the calculation gives 17.29 states/eV per cell. For the total energy, the calculation gives -164.499 eV for the cell shown.